a.
Crystalline CaNd5In4 at its relaxed geometry. Source: the Alexandria database, functional PBE.

Lattice parameters (Å, degrees): 8.7207 8.5430 9.1306 90.00 90.00 90.00
With the nearest neighbours (Å) after each atom.
Positions (direct):
1 In 0.4440 0.1595 0.5000  1 In 2.72, 1 Ca 2.97
2 In 0.5560 0.3405 0.0000  1 In 2.72, 1 Ca 2.97
3 In 0.9681 0.0000 0.8404  1 In 2.92, 1 Nd 3.25
4 In 0.5560 0.6595 0.0000  1 In 2.72, 1 Ca 2.97
5 In 0.4440 0.8405 0.5000  1 In 2.72, 1 Ca 2.97
6 In 0.0319 0.5000 0.6596  1 In 2.92, 1 Nd 3.25
7 In 0.0319 0.5000 0.3404  1 In 2.92, 1 Nd 3.25
8 In 0.9681 0.0000 0.1596  1 In 2.92, 1 Nd 3.25
9 Nd 0.2625 0.7665 0.8049  4 In 3.25-3.31, 1 Nd 3.56
10 Nd 0.7375 0.2665 0.6951  4 In 3.25-3.31, 1 Nd 3.56
11 Nd 0.7375 0.7335 0.3049  4 In 3.25-3.31, 1 Nd 3.56
12 Nd 0.2625 0.2335 0.1951  4 In 3.25-3.31, 1 Nd 3.56
13 Nd 0.9239 0.5000 0.0000  4 In 3.25-3.49
14 Nd 0.2625 0.7665 0.1951  4 In 3.25-3.31, 1 Nd 3.56
15 Nd 0.0761 0.0000 0.5000  4 In 3.25-3.49
16 Nd 0.2625 0.2335 0.8049  4 In 3.25-3.31, 1 Nd 3.56
17 Nd 0.7375 0.7335 0.6951  4 In 3.25-3.31, 1 Nd 3.56
18 Nd 0.7375 0.2665 0.3049  4 In 3.25-3.31, 1 Nd 3.56
19 Ca 0.6251 0.0000 0.0000  4 In 2.97-3.33
20 Ca 0.3749 0.5000 0.5000  4 In 2.97-3.33

Summary:
- calculated density (g/cm3) = 6.0
- crystal system = orthorhombic
- D(E_F) (states/eV/cell) = 23.87
- space group = Pmmn, No. 59

***

b.
Crystalline CaNd5In4 at its relaxed geometry. Source: the Alexandria database, functional PBE.

Lattice parameters (Å, degrees): 3.6931 3.6931 22.7518 90.00 90.00 90.00
With the nearest neighbours (Å) after each atom.
Positions (direct):
1 In 0.0000 0.0000 0.7823  8 Nd 3.32-3.39, 4 In 3.69
2 In 0.0000 0.0000 0.2177  8 Nd 3.32-3.39, 4 In 3.69
3 In 0.0000 0.0000 0.4063  8 Nd 3.37, 4 In 3.69
4 In 0.0000 0.0000 0.5937  8 Nd 3.37, 4 In 3.69
5 Ca 0.0000 0.0000 0.0000  4 Ca 3.69, 8 Nd 3.90
6 Nd 0.5000 0.5000 0.6873  8 In 3.37-3.39, 4 Nd 3.69
7 Nd 0.5000 0.5000 0.8727  4 In 3.32, 4 Nd 3.69
8 Nd 0.5000 0.5000 0.3127  8 In 3.37-3.39, 4 Nd 3.69
9 Nd 0.5000 0.5000 0.1273  4 In 3.32, 4 Nd 3.69
10 Nd 0.5000 0.5000 0.5000  8 In 3.37, 4 Nd 3.69

Summary:
- calculated density (g/cm3) = 6.5
- crystal system = tetragonal
- D(E_F) (states/eV/cell) = 8.67
- space group = P4/mmm, No. 123

***

Which one sits at the top of the stability order? b does.

***

a.
Crystalline CaNdIn4 at its relaxed geometry. Source: the Alexandria database, functional PBE.

Lattice parameters (Å, degrees): 6.1151 6.1151 6.1151 60.00 60.00 60.00
With the nearest neighbours (Å) after each atom.
Positions (direct):
1 In 0.1243 0.6252 0.6252  6 In 3.05-3.06
2 In 0.6252 0.1243 0.6252  6 In 3.05-3.06
3 In 0.6252 0.6252 0.1243  6 In 3.05-3.06
4 In 0.6252 0.6252 0.6252  6 In 3.05-3.06
5 Ca 0.2500 0.2500 0.2500  12 In 3.59, 4 Nd 3.74
6 Nd 0.0000 0.0000 0.0000  12 In 3.58, 4 Ca 3.74

Summary:
- calculated density (g/cm3) = 6.6
- crystal system = cubic
- D(E_F) (states/eV/cell) = 4.67
- space group = F-43m, No. 216

***

b.
Crystalline CaNdIn4 at its relaxed geometry. Source: the Alexandria database, functional PBE.

Lattice parameters (Å, degrees): 3.7348 5.0073 8.7190 90.00 90.09 90.00
With the nearest neighbours (Å) after each atom.
Positions (direct):
1 In 0.9801 0.0000 0.3338  3 In 2.90
2 In 0.9822 0.5000 0.8334  3 In 2.90-2.91
3 In 0.0178 0.5000 0.1666  3 In 2.90-2.91
4 In 0.0199 0.0000 0.6662  3 In 2.90
5 Ca 0.5000 0.0000 0.0000  12 In 3.41-3.50, 2 Ca 3.73
6 Nd 0.5000 0.5000 0.5000  12 In 3.40-3.49, 2 Nd 3.73

Summary:
- calculated density (g/cm3) = 6.6
- crystal system = monoclinic
- D(E_F) (states/eV/cell) = 3.25
- space group = P2/m, No. 10

***

Which one sits at the top of the stability order? b does.

***

a.
Crystalline CaNd3In2 at its relaxed geometry. Source: the Alexandria database, functional PBE.

Lattice parameters (Å, degrees): 5.5400 6.9495 9.6655 90.00 90.00 90.00
With the nearest neighbours (Å) after each atom.
Positions (direct):
1 Nd 0.0000 0.2511 0.3344  5 In 3.20-3.48
2 Nd 0.5000 0.2488 0.8328  5 In 3.21-3.48
3 Nd 0.0000 0.4997 0.9992  8 Nd 3.47-3.67, 6 In 3.64-3.68
4 Nd 0.0000 0.9997 0.0008  8 Nd 3.47-3.67, 6 In 3.64-3.68
5 Nd 0.5000 0.7488 0.1672  5 In 3.21-3.48
6 Nd 0.0000 0.7511 0.6656  5 In 3.20-3.48
7 Ca 0.5000 0.5003 0.5009  2 Ca 3.47, 6 In 3.64-3.68, 6 Nd 3.64-3.66
8 Ca 0.5000 0.0003 0.4991  2 Ca 3.47, 6 In 3.64-3.68, 6 Nd 3.64-3.66
9 In 0.0000 0.2506 0.6658  5 Nd 3.20-3.48
10 In 0.5000 0.2494 0.1660  5 Nd 3.21-3.48
11 In 0.0000 0.7506 0.3342  5 Nd 3.20-3.48
12 In 0.5000 0.7494 0.8340  5 Nd 3.21-3.48

Summary:
- calculated density (g/cm3) = 6.3
- crystal system = orthorhombic
- D(E_F) (states/eV/cell) = 10.94
- space group = Pmc2_1, No. 26

***

b.
Crystalline CaNd3In2 at its relaxed geometry. Source: the Alexandria database, functional PBE.

Lattice parameters (Å, degrees): 5.4320 11.7721 8.3241 129.73 90.00 103.34
With the nearest neighbours (Å) after each atom.
Positions (direct):
1 Nd 0.6801 0.3603 0.3687  2 In 3.15-3.16
2 Nd 0.9389 0.8777 0.7117  3 In 3.15-3.19
3 Nd 0.6228 0.2456 0.6932  5 In 3.31-3.61, 2 Ca 3.62, 1 Nd 3.70
4 Nd 0.3199 0.6397 0.6313  2 In 3.15-3.16
5 Nd 0.0611 0.1223 0.2883  3 In 3.15-3.19
6 Nd 0.3772 0.7544 0.3068  5 In 3.31-3.61, 2 Ca 3.62, 1 Nd 3.70
7 In 0.7793 0.5586 0.2299  5 Nd 3.15-3.43, 3 Ca 3.36-3.47
8 In 0.2207 0.4414 0.7701  5 Nd 3.15-3.43, 3 Ca 3.36-3.47
9 In 0.5308 0.0616 0.8785  1 In 3.14, 4 Nd 3.15-3.33, 2 Ca 3.51
10 In 0.4692 0.9384 0.1215  1 In 3.14, 4 Nd 3.15-3.33, 2 Ca 3.51
11 Ca 0.8451 0.6903 0.9692  5 In 3.36-3.51, 4 Nd 3.62-3.67
12 Ca 0.1549 0.3097 0.0308  5 In 3.36-3.51, 4 Nd 3.62-3.67

Summary:
- calculated density (g/cm3) = 6.0
- crystal system = monoclinic
- D(E_F) (states/eV/cell) = 9.91
- space group = C2/m, No. 12

***

Which one sits at the top of the stability order? a does.

***

a.
Crystalline CaNdInSn at its relaxed geometry. Source: the Alexandria database, functional PBE.

Lattice parameters (Å, degrees): 4.4969 5.0197 5.0694 90.00 90.00 90.00
With the nearest neighbours (Å) after each atom.
Positions (direct):
1 In 0.0000 0.5000 0.5000  4 Ca 3.37, 4 Nd 3.39, 4 Sn 3.57
2 Sn 0.0000 0.0000 0.0000  4 Nd 3.37, 4 Ca 3.39, 4 In 3.57
3 Ca 0.5000 0.0000 0.5000  4 In 3.37, 4 Sn 3.39, 4 Nd 3.57
4 Nd 0.5000 0.5000 0.0000  4 Sn 3.37, 4 In 3.39, 4 Ca 3.57

Summary:
- calculated density (g/cm3) = 6.1
- crystal system = orthorhombic
- D(E_F) (states/eV/cell) = 2.36
- space group = Pmmm, No. 47

***

b.
Crystalline CaNdInSn at its relaxed geometry. Source: the Alexandria database, functional PBE.

Lattice parameters (Å, degrees): 5.4665 5.4665 5.4665 60.00 60.00 60.00
With the nearest neighbours (Å) after each atom.
Positions (direct):
1 Nd 0.0000 0.0000 0.0000  4 In 3.35, 4 Sn 3.35
2 Ca 0.5000 0.5000 0.5000  4 In 3.35, 4 Sn 3.35
3 In 0.7500 0.7500 0.7500  4 Ca 3.35, 4 Nd 3.35
4 Sn 0.2500 0.2500 0.2500  4 Ca 3.35, 4 Nd 3.35

Summary:
- calculated density (g/cm3) = 6.0
- crystal system = cubic
- D(E_F) (states/eV/cell) = 1.98
- space group = F-43m, No. 216

***

Which one sits at the top of the stability order? a does.

***

a.
Crystalline CaIn4Ni4 at its relaxed geometry. Source: the Alexandria database, functional PBE.

Lattice parameters (Å, degrees): 5.1215 8.5689 8.5689 90.00 90.00 90.00
With the nearest neighbours (Å) after each atom.
Positions (direct):
1 In 0.1070 0.8520 0.3773  5 Ni 2.59-2.69
2 In 0.3930 0.3520 0.8773  5 Ni 2.59-2.69
3 In 0.8930 0.3773 0.1480  5 Ni 2.59-2.69
4 In 0.1070 0.1480 0.6227  5 Ni 2.59-2.69
5 In 0.8930 0.6227 0.8520  5 Ni 2.59-2.69
6 In 0.3930 0.6480 0.1227  5 Ni 2.59-2.69
7 In 0.6070 0.8773 0.6480  5 Ni 2.59-2.69
8 In 0.6070 0.1227 0.3520  5 Ni 2.59-2.69
9 Ca 0.5000 0.5000 0.5000  4 Ni 3.10
10 Ca 0.0000 0.0000 0.0000  4 Ni 3.10
11 Ni 0.8913 0.6822 0.1598  1 Ni 2.42, 5 In 2.59-2.69
12 Ni 0.6087 0.1822 0.6598  1 Ni 2.42, 5 In 2.59-2.69
13 Ni 0.3913 0.6598 0.8178  1 Ni 2.42, 5 In 2.59-2.69
14 Ni 0.1087 0.8402 0.6822  1 Ni 2.42, 5 In 2.59-2.69
15 Ni 0.3913 0.3402 0.1822  1 Ni 2.42, 5 In 2.59-2.69
16 Ni 0.1087 0.1598 0.3178  1 Ni 2.42, 5 In 2.59-2.69
17 Ni 0.6087 0.8178 0.3402  1 Ni 2.42, 5 In 2.59-2.69
18 Ni 0.8913 0.3178 0.8402  1 Ni 2.42, 5 In 2.59-2.69

Summary:
- calculated density (g/cm3) = 6.5
- crystal system = tetragonal
- D(E_F) (states/eV/cell) = 9.13
- space group = P4_2/n, No. 86

***

b.
Crystalline CaIn4Ni4 at its relaxed geometry. Source: the Alexandria database, functional PBE.

Lattice parameters (Å, degrees): 5.9874 5.9874 9.3345 90.00 90.00 90.00
With the nearest neighbours (Å) after each atom.
Positions (direct):
1 Ni 0.0000 0.7029 0.4190  1 Ni 2.43, 3 In 2.60-2.62
2 Ni 0.2971 0.0000 0.5810  1 Ni 2.43, 3 In 2.60-2.62
3 Ni 0.5000 0.7971 0.0810  1 Ni 2.43, 3 In 2.60-2.62
4 Ni 0.5000 0.2029 0.0810  1 Ni 2.43, 3 In 2.60-2.62
5 Ni 0.2029 0.5000 0.9190  1 Ni 2.43, 3 In 2.60-2.62
6 Ni 0.0000 0.2971 0.4190  1 Ni 2.43, 3 In 2.60-2.62
7 Ni 0.7029 0.0000 0.5810  1 Ni 2.43, 3 In 2.60-2.62
8 Ni 0.7971 0.5000 0.9190  1 Ni 2.43, 3 In 2.60-2.62
9 Ca 0.0000 0.0000 0.0000  4 In 3.24, 8 Ni 3.32
10 Ca 0.5000 0.5000 0.5000  4 In 3.24, 8 Ni 3.32
11 In 0.2649 0.0000 0.3029  5 Ni 2.60-2.78, 1 In 2.82
12 In 0.5000 0.2351 0.8029  5 Ni 2.60-2.78, 1 In 2.82
13 In 0.2351 0.5000 0.1971  5 Ni 2.60-2.78, 1 In 2.82
14 In 0.0000 0.7351 0.6971  5 Ni 2.60-2.78, 1 In 2.82
15 In 0.7351 0.0000 0.3029  5 Ni 2.60-2.78, 1 In 2.82
16 In 0.5000 0.7649 0.8029  5 Ni 2.60-2.78, 1 In 2.82
17 In 0.0000 0.2649 0.6971  5 Ni 2.60-2.78, 1 In 2.82
18 In 0.7649 0.5000 0.1971  5 Ni 2.60-2.78, 1 In 2.82

Summary:
- calculated density (g/cm3) = 7.3
- crystal system = tetragonal
- D(E_F) (states/eV/cell) = 12.80
- space group = P4_2/nmc, No. 137

***

Which one sits at the top of the stability order? b does.

***

a.
Crystalline Ca3In3Ni2 at its relaxed geometry. Source: the Alexandria database, functional PBE.

Lattice parameters (Å, degrees): 5.9872 8.0662 16.0111 90.00 90.00 90.00
With the nearest neighbours (Å) after each atom.
Positions (direct):
1 Ni 0.8920 0.1214 0.3916  4 In 2.62-2.72
2 Ni 0.8920 0.1214 0.1084  4 In 2.62-2.72
3 Ni 0.1080 0.8786 0.6084  4 In 2.62-2.72
4 Ni 0.3920 0.3786 0.8916  4 In 2.62-2.72
5 Ni 0.3920 0.3786 0.6084  4 In 2.62-2.72
6 Ni 0.6080 0.6214 0.1084  4 In 2.62-2.72
7 Ni 0.6080 0.6214 0.3916  4 In 2.62-2.72
8 Ni 0.1080 0.8786 0.8916  4 In 2.62-2.72
9 In 0.6160 0.3366 0.7500  2 Ni 2.66
10 In 0.6072 0.3257 0.0385  3 Ni 2.62-2.72
11 In 0.1160 0.1634 0.2500  2 Ni 2.66
12 In 0.1072 0.1743 0.9615  3 Ni 2.62-2.72
13 In 0.6072 0.3257 0.4615  3 Ni 2.62-2.72
14 In 0.8928 0.8257 0.0385  3 Ni 2.62-2.72
15 In 0.8928 0.8257 0.4615  3 Ni 2.62-2.72
16 In 0.8840 0.8366 0.7500  2 Ni 2.66
17 In 0.1072 0.1743 0.5385  3 Ni 2.62-2.72
18 In 0.3928 0.6743 0.5385  3 Ni 2.62-2.72
19 In 0.3840 0.6634 0.2500  2 Ni 2.66
20 In 0.3928 0.6743 0.9615  3 Ni 2.62-2.72
21 Ca 0.1325 0.1808 0.7500  5 In 3.15-3.39, 4 Ni 3.18-3.33
22 Ca 0.3675 0.6808 0.7500  5 In 3.15-3.39, 4 Ni 3.18-3.33
23 Ca 0.3924 0.9631 0.1095  3 Ni 3.04-3.26, 7 In 3.23-3.39
24 Ca 0.1076 0.4631 0.1095  3 Ni 3.04-3.26, 7 In 3.23-3.39
25 Ca 0.8675 0.8192 0.2500  5 In 3.15-3.39, 4 Ni 3.18-3.33
26 Ca 0.1076 0.4631 0.3905  3 Ni 3.04-3.26, 7 In 3.23-3.39
27 Ca 0.6076 0.0369 0.6095  3 Ni 3.04-3.26, 7 In 3.23-3.39
28 Ca 0.8924 0.5369 0.8905  3 Ni 3.04-3.26, 7 In 3.23-3.39
29 Ca 0.8924 0.5369 0.6095  3 Ni 3.04-3.26, 7 In 3.23-3.39
30 Ca 0.3924 0.9631 0.3905  3 Ni 3.04-3.26, 7 In 3.23-3.39
31 Ca 0.6325 0.3192 0.2500  5 In 3.15-3.39, 4 Ni 3.18-3.33
32 Ca 0.6076 0.0369 0.8905  3 Ni 3.04-3.26, 7 In 3.23-3.39

Summary:
- calculated density (g/cm3) = 5.0
- crystal system = orthorhombic
- D(E_F) (states/eV/cell) = 17.29
- space group = Pnma, No. 62

***

b.
Crystalline Ca3In3Ni2 at its relaxed geometry. Source: the Alexandria database, functional PBE.

Lattice parameters (Å, degrees): 4.2758 5.2853 8.9893 80.57 76.24 89.95
With the nearest neighbours (Å) after each atom.
Positions (direct):
1 In 0.5000 0.5000 0.0000  8 Ca 3.40-3.53, 4 In 3.57-3.60
2 In 0.6399 0.0749 0.7188  3 Ni 2.59-2.63
3 In 0.3601 0.9251 0.2812  3 Ni 2.59-2.63
4 Ca 0.0000 0.0000 0.0000  8 In 3.23-3.40
5 Ca 0.1625 0.5775 0.6733  2 Ni 2.73-2.97
6 Ca 0.8375 0.4225 0.3267  2 Ni 2.73-2.97
7 Ni 0.2244 0.0883 0.5496  2 Ni 2.54-2.55, 3 In 2.59-2.63, 1 Ca 2.73
8 Ni 0.7756 0.9117 0.4504  2 Ni 2.54-2.55, 3 In 2.59-2.63, 1 Ca 2.73

Summary:
- calculated density (g/cm3) = 5.0
- crystal system = triclinic
- D(E_F) (states/eV/cell) = 3.36
- space group = P-1, No. 2

***

Which one sits at the top of the stability order? b does.